# Na3SrZn | Alexandria | PBE | relaxed
data_Na3SrZn
_space_group_name_H-M_alt 'P 1'
_space_group_IT_number 1
_cell_length_a 7.271
_cell_length_b 7.271
_cell_length_c 7.271
_cell_angle_alpha 90.00
_cell_angle_beta 90.00
_cell_angle_gamma 90.00
loop_
_space_group_symop_operation_xyz
'x,y,z'
loop_
_atom_site_label
_atom_site_type_symbol
_atom_site_fract_x
_atom_site_fract_y
_atom_site_fract_z
Sr1 Sr 0.000 0.000 0.000
Zn1 Zn 0.500 0.500 0.500
Na1 Na 0.000 0.500 0.000
Na2 Na 0.000 0.000 0.500
Na3 Na 0.500 0.000 0.000
# Crystal system = cubic
# Energy of formation = 0.7006 eV/atom
# Calculated total energy = -0.682 eV per atom
# Relative energy among the computed polymorphs = 557 meV per atom